Record 1
Entry from the Open Quantum Materials Database: a relaxed structure of La3ZnN (PBE).

Values from the calculation:
The volume is 26.0 Å³/atom. The value obtained for the magnetization is 0.01 μB/cell. The value obtained for the offset from the most stable computed form is 0.035 eV per atom. As for the symmetry: Pm-3m, No. 221.

The structure in CIF format:
```
data_La3ZnN
_space_group_name_H-M_alt 'P 1'
_space_group_IT_number 1
_space_group_name_Hall 'P 1'
_cell_length_a 5.066
_cell_length_b 5.066
_cell_length_c 5.066
_cell_angle_alpha 90.00
_cell_angle_beta 90.00
_cell_angle_gamma 90.00
loop_
_atom_site_label
_atom_site_fract_x
_atom_site_fract_y
_atom_site_fract_z
La1 0.500 0.000 0.000
La2 0.000 0.500 0.000
La3 0.000 0.000 0.500
N1 0.000 0.000 0.000
Zn1 0.500 0.500 0.500
```

***

Record 2
Entry from the Open Quantum Materials Database: a relaxed structure of TbPdAu (PBE).

Values from the calculation:
The volume is 23.3 Å³/atom. Its formation energy from the elements is -717 meV/atom. The value obtained for the magnetization is 0.00 μB/cell. As for the symmetry: F-43m, No. 216.

The structure in CIF format:
```
data_TbPdAu
_space_group_name_H-M_alt 'P 1'
_space_group_IT_number 1
_space_group_name_Hall 'P 1'
_cell_length_a 4.622
_cell_length_b 4.622
_cell_length_c 4.622
_cell_angle_alpha 60.00
_cell_angle_beta 60.00
_cell_angle_gamma 60.00
loop_
_atom_site_label
_atom_site_fract_x
_atom_site_fract_y
_atom_site_fract_z
Au1 0.250 0.250 0.250
Pd1 0.000 0.000 0.000
Tb1 0.750 0.750 0.750
```

***

Record 3
Entry from the Open Quantum Materials Database: a relaxed structure of PaAgTe (PBE).

Values from the calculation:
The volume is 26.8 Å³/atom. The value obtained for the magnetization is 1.48 μB/cell. The value obtained for the offset from the most stable computed form is 0.158 eV per atom. As for the symmetry: F-43m, No. 216.

The structure in CIF format:
```
data_PaAgTe
_space_group_name_H-M_alt 'P 1'
_space_group_IT_number 1
_space_group_name_Hall 'P 1'
_cell_length_a 4.846
_cell_length_b 4.846
_cell_length_c 4.846
_cell_angle_alpha 60.00
_cell_angle_beta 60.00
_cell_angle_gamma 60.00
loop_
_atom_site_label
_atom_site_fract_x
_atom_site_fract_y
_atom_site_fract_z
Ag1 0.000 0.000 0.000
Pa1 0.250 0.250 0.250
Te1 0.750 0.750 0.750
```

***

Record 4
Entry from the Open Quantum Materials Database: a relaxed structure of ThNi2B2C (PBE).

Values from the calculation:
For the raw total energy, the calculation gives -7.35 eV per atom. The volume is 11.6 Å³/atom. The value obtained for the magnetization is 0.00 μB/cell. As for the symmetry: I4/mmm, No. 139.

The structure in CIF format:
```
data_ThNi2B2C
_space_group_name_H-M_alt 'P 1'
_space_group_IT_number 1
_space_group_name_Hall 'P 1'
_cell_length_a 5.717
_cell_length_b 5.717
_cell_length_c 5.717
_cell_angle_alpha 142.31
_cell_angle_beta 142.31
_cell_angle_gamma 54.36
loop_
_atom_site_label
_atom_site_fract_x
_atom_site_fract_y
_atom_site_fract_z
B1 0.352 0.352 0.000
B2 0.648 0.648 0.000
C1 0.500 0.500 0.000
Ni1 0.750 0.250 0.500
Ni2 0.250 0.750 0.500
Th1 0.000 0.000 0.000
```

***

Record 5
Entry from the Open Quantum Materials Database: a relaxed structure of ScNb3 (PBE).

Values from the calculation:
The volume is 19.2 Å³/atom. Its formation energy from the elements is 246 meV/atom. The value obtained for the magnetization is 0.04 μB/cell. As for the symmetry: I4/mmm, No. 139.

The structure in CIF format:
```
data_ScNb3
_space_group_name_H-M_alt 'P 1'
_space_group_IT_number 1
_space_group_name_Hall 'P 1'
_cell_length_a 5.520
_cell_length_b 5.520
_cell_length_c 5.520
_cell_angle_alpha 137.14
_cell_angle_beta 137.14
_cell_angle_gamma 62.23
loop_
_atom_site_label
_atom_site_fract_x
_atom_site_fract_y
_atom_site_fract_z
Nb1 0.500 0.500 0.000
Nb2 0.750 0.250 0.500
Nb3 0.250 0.750 0.500
Sc1 0.000 0.000 0.000
```

***

Record 6
Entry from the Open Quantum Materials Database: a relaxed structure of GdSbN2O (PBE).

Values from the calculation:
For the raw total energy, the calculation gives -7.01 eV per atom. The volume is 12.9 Å³/atom. The value obtained for the magnetization is 0.01 μB/cell. As for the symmetry: P2_1/c, No. 14.

The structure in CIF format:
```
data_GdSbN2O
_space_group_name_H-M_alt 'P 1'
_space_group_IT_number 1
_space_group_name_Hall 'P 1'
_cell_length_a 8.069
_cell_length_b 7.854
_cell_length_c 11.290
_cell_angle_alpha 90.00
_cell_angle_beta 134.01
_cell_angle_gamma 90.00
loop_
_atom_site_label
_atom_site_fract_x
_atom_site_fract_y
_atom_site_fract_z
Gd1 0.167 0.012 0.225
Gd2 0.235 0.507 0.241
Gd3 0.765 0.007 0.259
Gd4 0.833 0.512 0.275
Gd5 0.167 0.488 0.725
Gd6 0.235 0.993 0.741
Gd7 0.765 0.493 0.759
Gd8 0.833 0.988 0.775
N1 0.833 0.504 0.027
N2 0.738 0.005 0.031
N3 0.588 0.288 0.094
N4 0.595 0.731 0.248
N5 0.405 0.231 0.252
N6 0.412 0.788 0.406
N7 0.262 0.505 0.469
N8 0.167 0.004 0.473
N9 0.833 0.996 0.527
N10 0.738 0.495 0.531
N11 0.588 0.212 0.594
N12 0.595 0.769 0.748
N13 0.405 0.269 0.752
N14 0.412 0.712 0.906
N15 0.262 0.995 0.969
N16 0.167 0.496 0.973
O1 0.050 0.797 0.040
O2 0.950 0.763 0.242
O3 0.050 0.263 0.258
O4 0.950 0.297 0.460
O5 0.050 0.703 0.540
O6 0.950 0.737 0.742
O7 0.050 0.237 0.758
O8 0.950 0.203 0.960
Sb1 0.286 0.741 0.012
Sb2 0.280 0.249 0.022
Sb3 0.720 0.749 0.478
Sb4 0.714 0.241 0.488
Sb5 0.286 0.759 0.512
Sb6 0.280 0.251 0.522
Sb7 0.720 0.751 0.978
Sb8 0.714 0.259 0.988
```

***

Record 7
Entry from the Open Quantum Materials Database: a relaxed structure of HfTaTc2 (PBE).

Values from the calculation:
The volume is 16.7 Å³/atom. Its formation energy from the elements is -504 meV/atom. The value obtained for the magnetization is 0.02 μB/cell. The value obtained for the offset from the most stable computed form is 0.010 eV per atom. As for the symmetry: Cmmm, No. 65.

The structure in CIF format:
```
data_HfTaTc2
_space_group_name_H-M_alt 'P 1'
_space_group_IT_number 1
_space_group_name_Hall 'P 1'
_cell_length_a 6.429
_cell_length_b 6.445
_cell_length_c 6.433
_cell_angle_alpha 90.00
_cell_angle_beta 90.00
_cell_angle_gamma 90.00
loop_
_atom_site_label
_atom_site_fract_x
_atom_site_fract_y
_atom_site_fract_z
Hf1 0.750 0.250 0.000
Hf2 0.250 0.750 0.000
Hf3 0.750 0.250 0.500
Hf4 0.250 0.750 0.500
Ta1 0.750 0.750 0.001
Ta2 0.250 0.250 0.499
Ta3 0.750 0.750 0.501
Ta4 0.250 0.250 0.999
Tc1 0.500 0.000 0.250
Tc2 0.500 0.500 0.250
Tc3 0.000 0.000 0.250
Tc4 0.000 0.500 0.250
Tc5 0.000 0.000 0.750
Tc6 0.000 0.500 0.750
Tc7 0.500 0.000 0.750
Tc8 0.500 0.500 0.750
```

***

Record 8
Entry from the Open Quantum Materials Database: a relaxed structure of MgZnSn2 (PBE).

Values from the calculation:
For the raw total energy, the calculation gives -2.64 eV per atom. The volume is 23.9 Å³/atom. As for the symmetry: F-43m, No. 216.

The structure in CIF format:
```
data_MgZnSn2
_space_group_name_H-M_alt 'P 1'
_space_group_IT_number 1
_space_group_name_Hall 'P 1'
_cell_length_a 5.130
_cell_length_b 5.130
_cell_length_c 5.130
_cell_angle_alpha 60.00
_cell_angle_beta 60.00
_cell_angle_gamma 60.00
loop_
_atom_site_label
_atom_site_fract_x
_atom_site_fract_y
_atom_site_fract_z
Mg1 0.750 0.750 0.750
Sn1 0.000 0.000 0.000
Sn2 0.250 0.250 0.250
Zn1 0.500 0.500 0.500
```

***

Record 9
Entry from the Open Quantum Materials Database: a relaxed structure of NdSmIn2 (PBE).

Values from the calculation:
For the raw total energy, the calculation gives -4.18 eV per atom. The volume is 30.3 Å³/atom. The value obtained for the magnetization is 0.22 μB/cell. As for the symmetry: Amm2, No. 38.

The structure in CIF format:
```
data_NdSmIn2
_space_group_name_H-M_alt 'P 1'
_space_group_IT_number 1
_space_group_name_Hall 'P 1'
_cell_length_a 4.406
_cell_length_b 6.339
_cell_length_c 6.339
_cell_angle_alpha 43.28
_cell_angle_beta 90.00
_cell_angle_gamma 90.00
loop_
_atom_site_label
_atom_site_fract_x
_atom_site_fract_y
_atom_site_fract_z
In1 0.000 0.083 0.083
In2 0.500 0.917 0.917
Nd1 0.000 0.360 0.360
Sm1 0.500 0.639 0.639
```

***

Record 10
Entry from the Open Quantum Materials Database: a relaxed structure of BeCoSnAu (PBE).

Values from the calculation:
The volume is 14.6 Å³/atom. The value obtained for the magnetization is 0.03 μB/cell. The value obtained for the offset from the most stable computed form is 0.000 eV per atom. As for the symmetry: F-43m, No. 216.

The structure in CIF format:
```
data_BeCoSnAu
_space_group_name_H-M_alt 'P 1'
_space_group_IT_number 1
_space_group_name_Hall 'P 1'
_cell_length_a 4.359
_cell_length_b 4.359
_cell_length_c 4.359
_cell_angle_alpha 60.00
_cell_angle_beta 60.00
_cell_angle_gamma 60.00
loop_
_atom_site_label
_atom_site_fract_x
_atom_site_fract_y
_atom_site_fract_z
Au1 0.500 0.500 0.500
Be1 0.250 0.250 0.250
Co1 0.750 0.750 0.750
Sn1 0.000 0.000 0.000
```

***

Record 11
Entry from the Open Quantum Materials Database: a relaxed structure of SnHg3Se4 (PBE).

Values from the calculation:
For the raw total energy, the calculation gives -2.55 eV per atom. The volume is 32.4 Å³/atom. As for the symmetry: I-42m, No. 121.

The structure in CIF format:
```
data_SnHg3Se4
_space_group_name_H-M_alt 'P 1'
_space_group_IT_number 1
_space_group_name_Hall 'P 1'
_cell_length_a 7.789
_cell_length_b 7.789
_cell_length_c 7.789
_cell_angle_alpha 131.55
_cell_angle_beta 131.55
_cell_angle_gamma 70.93
loop_
_atom_site_label
_atom_site_fract_x
_atom_site_fract_y
_atom_site_fract_z
Hg1 0.500 0.500 0.000
Hg2 0.750 0.250 0.500
Hg3 0.250 0.750 0.500
Se1 0.869 0.391 0.000
Se2 0.391 0.869 0.000
Se3 0.609 0.609 0.478
Se4 0.131 0.131 0.522
Sn1 0.000 0.000 0.000
```

***

Record 12
Entry from the Open Quantum Materials Database: a relaxed structure of TaAg3O4 (PBE).

Values from the calculation:
For the raw total energy, the calculation gives -6.23 eV per atom. The volume is 15.2 Å³/atom. The value obtained for the magnetization is 0.01 μB/cell. As for the symmetry: C2/c, No. 15.

The structure in CIF format:
```
data_TaAg3O4
_space_group_name_H-M_alt 'P 1'
_space_group_IT_number 1
_space_group_name_Hall 'P 1'
_cell_length_a 5.652
_cell_length_b 5.652
_cell_length_c 10.457
_cell_angle_alpha 112.16
_cell_angle_beta 112.16
_cell_angle_gamma 53.40
loop_
_atom_site_label
_atom_site_fract_x
_atom_site_fract_y
_atom_site_fract_z
Ag1 0.000 0.000 0.000
Ag2 0.686 0.786 0.092
Ag3 0.214 0.314 0.408
Ag4 0.000 0.000 0.500
Ag5 0.786 0.686 0.592
Ag6 0.314 0.214 0.908
O1 0.225 0.582 0.094
O2 0.884 0.380 0.212
O3 0.620 0.116 0.288
O4 0.418 0.775 0.406
O5 0.582 0.225 0.594
O6 0.380 0.884 0.712
O7 0.116 0.620 0.788
O8 0.775 0.418 0.906
Ta1 0.540 0.460 0.250
Ta2 0.460 0.540 0.750
```

***

| no. | mass density (g/cm³) |
| --- | --- |
| 1 | 6.34 |
| 2 | 10.99 |
| 3 | 9.62 |
| 4 | 9.17 |
| 5 | 6.99 |
| 6 | 8.34 |
| 7 | 13.84 |
| 8 | 5.69 |
| 9 | 7.17 |
| 10 | 10.87 |
| 11 | 6.64 |
| 12 | 7.77 |